No. 1
# Sr2NdCu3Pb2O8 PBE optimized geometry
# - E (eV per atom) = -5.911
# - spin magnetization (Bohr magnetons per cell) = 0.001
# - formation energy from raw total energies (kcal/mol of atoms) = -39.02
data_Sr2NdCu3Pb2O8
_symmetry_space_group_name_H-M 'P 1'
_symmetry_Int_Tables_number 1
_cell_length_a 3.900
_cell_length_b 3.862
_cell_length_c 16.020
_cell_angle_alpha 90.00
_cell_angle_beta 90.84
_cell_angle_gamma 90.00
loop_
_symmetry_equiv_pos_as_xyz
'x,y,z'
loop_
_atom_site_label
_atom_site_type_symbol
_atom_site_fract_x
_atom_site_fract_y
_atom_site_fract_z
Sr1 Sr 0.013 0.000 0.223
Sr2 Sr 0.987 0.000 0.777
Nd1 Nd 0.000 0.000 0.000
Cu1 Cu 0.000 0.000 0.500
Cu2 Cu 0.494 0.500 0.891
Cu3 Cu 0.506 0.500 0.109
Pb1 Pb 0.495 0.500 0.389
Pb2 Pb 0.505 0.500 0.611
O1 O 0.005 0.500 0.098
O2 O 0.093 0.000 0.386
O3 O 0.481 0.500 0.747
O4 O 0.495 0.000 0.904
O5 O 0.505 0.000 0.096
O6 O 0.519 0.500 0.253
O7 O 0.907 0.000 0.614
O8 O 0.995 0.500 0.902



No. 2
# DyCrNi4 PBE optimized geometry
# - E (eV per atom) = -6.404
# - spin magnetization (Bohr magnetons per cell) = 5.130
# - formation energy (eV/atom) = -0.18
data_DyCrNi4
_symmetry_space_group_name_H-M 'P 1'
_symmetry_Int_Tables_number 1
_cell_length_a 4.903
_cell_length_b 4.903
_cell_length_c 4.903
_cell_angle_alpha 60.00
_cell_angle_beta 60.00
_cell_angle_gamma 60.00
loop_
_symmetry_equiv_pos_as_xyz
'x,y,z'
loop_
_atom_site_label
_atom_site_type_symbol
_atom_site_fract_x
_atom_site_fract_y
_atom_site_fract_z
Dy1 Dy 0.000 0.000 0.000
Cr1 Cr 0.750 0.750 0.750
Ni1 Ni 0.376 0.376 0.376
Ni2 Ni 0.376 0.376 0.872
Ni3 Ni 0.376 0.872 0.376
Ni4 Ni 0.872 0.376 0.376



No. 3
# FeSb2Te PBE optimized geometry
# - E (eV per atom) = -4.402
# - spin magnetization (Bohr magnetons per cell) = 2.892
# - formation energy from raw total energies (kcal/mol of atoms) = 12.92
data_FeSb2Te
_symmetry_space_group_name_H-M 'P 1'
_symmetry_Int_Tables_number 1
_cell_length_a 3.563
_cell_length_b 5.071
_cell_length_c 5.300
_cell_angle_alpha 90.00
_cell_angle_beta 90.00
_cell_angle_gamma 90.00
loop_
_symmetry_equiv_pos_as_xyz
'x,y,z'
loop_
_atom_site_label
_atom_site_type_symbol
_atom_site_fract_x
_atom_site_fract_y
_atom_site_fract_z
Fe1 Fe 0.000 0.000 0.000
Sb1 Sb 0.000 0.500 0.500
Sb2 Sb 0.500 0.000 0.500
Te1 Te 0.500 0.500 0.000



No. 4
# Bi2AuO4 PBE optimized geometry
# - E (eV per atom) = -4.956
# - spin magnetization (Bohr magnetons per cell) = 0.000
# - formation energy from raw total energies (kcal/mol of atoms) = -12.59
data_Bi2AuO4
_symmetry_space_group_name_H-M 'P 1'
_symmetry_Int_Tables_number 1
_cell_length_a 5.239
_cell_length_b 5.239
_cell_length_c 5.239
_cell_angle_alpha 111.89
_cell_angle_beta 111.89
_cell_angle_gamma 104.73
loop_
_symmetry_equiv_pos_as_xyz
'x,y,z'
loop_
_atom_site_label
_atom_site_type_symbol
_atom_site_fract_x
_atom_site_fract_y
_atom_site_fract_z
Bi1 Bi 0.250 0.750 0.500
Bi2 Bi 0.750 0.250 0.500
Au1 Au 0.000 0.000 0.000
O1 O 0.250 0.250 0.500
O2 O 0.250 0.750 0.000
O3 O 0.750 0.250 0.000
O4 O 0.750 0.750 0.500



No. 5
# NaFe2As PBE optimized geometry
# - E (eV per atom) = -5.297
# - spin magnetization (Bohr magnetons per cell) = 10.309
# - formation energy (eV/atom) = 0.43
data_NaFe2As
_symmetry_space_group_name_H-M 'P 1'
_symmetry_Int_Tables_number 1
_cell_length_a 8.918
_cell_length_b 8.918
_cell_length_c 8.918
_cell_angle_alpha 150.31
_cell_angle_beta 150.31
_cell_angle_gamma 42.49
loop_
_symmetry_equiv_pos_as_xyz
'x,y,z'
loop_
_atom_site_label
_atom_site_type_symbol
_atom_site_fract_x
_atom_site_fract_y
_atom_site_fract_z
Na1 Na 0.000 0.000 0.000
Na2 Na 0.750 0.250 0.500
Fe1 Fe 0.364 0.625 0.239
Fe2 Fe 0.375 0.614 0.739
Fe3 Fe 0.386 0.125 0.761
Fe4 Fe 0.875 0.636 0.261
As1 As 0.250 0.750 0.500
As2 As 0.500 0.500 0.000



No. 6
# Mg2ScZn2Au2 PBE optimized geometry
# - E (eV per atom) = -3.123
# - spin magnetization (Bohr magnetons per cell) = 0.000
# - formation energy (eV/atom) = -0.46
data_Mg2ScZn2Au2
_symmetry_space_group_name_H-M 'P 1'
_symmetry_Int_Tables_number 1
_cell_length_a 7.773
_cell_length_b 7.773
_cell_length_c 7.773
_cell_angle_alpha 33.95
_cell_angle_beta 33.95
_cell_angle_gamma 33.95
loop_
_symmetry_equiv_pos_as_xyz
'x,y,z'
loop_
_atom_site_label
_atom_site_type_symbol
_atom_site_fract_x
_atom_site_fract_y
_atom_site_fract_z
Mg1 Mg 0.133 0.133 0.133
Mg2 Mg 0.867 0.867 0.867
Sc1 Sc 0.000 0.000 0.000
Zn1 Zn 0.397 0.397 0.397
Zn2 Zn 0.603 0.603 0.603
Au1 Au 0.260 0.260 0.260
Au2 Au 0.740 0.740 0.740